# LiTcAgIr

Crystalline LiTcAgIr at its relaxed geometry (GGA-PBE, OQMD).

Cell and atoms, written as extended XYZ:
```
4
Lattice="0.000 3.077 3.077 3.077 0.000 3.077 3.077 3.077 0.000" Properties=species:S:1:pos:R:3 pbc="T T T"
Li 0.000 0.000 0.000
Tc 1.538 1.538 1.538
Ag 4.615 4.615 4.615
Ir 3.077 3.077 3.077
```

Properties
E above lowest polymorph in kJ per mole of atoms: 0.0

=====

# Li4Tl2AgIr

Crystalline Li4Tl2AgIr at its relaxed geometry (GGA-PBE, OQMD).

Cell and atoms, written as extended XYZ:
```
8
Lattice="4.583 0.000 0.000 0.000 4.583 0.000 0.000 0.000 6.509" Properties=species:S:1:pos:R:3 pbc="T T T"
Li 0.000 0.000 0.000
Li 0.000 2.292 1.587
Li 2.292 0.000 4.922
Li 2.292 2.292 3.255
Tl 0.000 2.292 4.990
Tl 2.292 0.000 1.519
Ag 0.000 0.000 3.255
Ir 2.292 2.292 0.000
```

Properties
Energy in eV per atom: -3.155

=====

# Lu2AgIr

Crystalline Lu2AgIr at its relaxed geometry (GGA-PBE, OQMD).

Cell and atoms, written as extended XYZ:
```
4
Lattice="0.000 3.383 3.383 3.383 0.000 3.383 3.383 3.383 0.000" Properties=species:S:1:pos:R:3 pbc="T T T"
Lu 0.000 0.000 0.000
Lu 1.691 1.691 1.691
Ag 5.074 5.074 5.074
Ir 3.383 3.383 3.383
```

Properties
DFT formation energy in eV per atom: -0.264

=====

# Lu4AgIr2Pd

Crystalline Lu4AgIr2Pd at its relaxed geometry (GGA-PBE, OQMD).

Cell and atoms, written as extended XYZ:
```
8
Lattice="4.824 0.000 0.000 0.000 4.824 0.000 0.000 0.000 6.821" Properties=species:S:1:pos:R:3 pbc="T T T"
Lu 0.000 2.412 1.673
Lu 0.000 2.412 5.148
Lu 2.412 0.000 1.673
Lu 2.412 0.000 5.148
Ag 0.000 0.000 3.411
Ir 0.000 0.000 0.000
Ir 2.412 2.412 3.411
Pd 2.412 2.412 0.000
```

Properties
DFT formation energy in eV per atom: -0.854

=====

# TmLu4AgIr2

Crystalline TmLu4AgIr2 at its relaxed geometry (GGA-PBE, OQMD).

Cell and atoms, written as extended XYZ:
```
8
Lattice="4.882 0.000 0.000 0.000 4.882 0.000 0.000 0.000 7.212" Properties=species:S:1:pos:R:3 pbc="T T T"
Tm 0.000 0.000 0.000
Lu 0.000 2.441 1.917
Lu 0.000 2.441 5.295
Lu 2.441 0.000 1.917
Lu 2.441 0.000 5.295
Ag 2.441 2.441 3.606
Ir 0.000 0.000 3.606
Ir 2.441 2.441 0.000
```

Properties
DFT formation energy in eV per atom: -0.479

=====

# Lu4ZnAgIr2

Crystalline Lu4ZnAgIr2 at its relaxed geometry (GGA-PBE, OQMD).

Cell and atoms, written as extended XYZ:
```
8
Lattice="4.840 0.000 0.000 0.000 4.840 0.000 0.000 0.000 6.856" Properties=species:S:1:pos:R:3 pbc="T T T"
Lu 0.000 2.420 1.697
Lu 0.000 2.420 5.159
Lu 2.420 0.000 1.697
Lu 2.420 0.000 5.159
Zn 0.000 0.000 0.000
Ag 2.420 2.420 3.428
Ir 0.000 0.000 3.428
Ir 2.420 2.420 0.000
```

Properties
DFT formation energy in eV per atom: -0.694

=====

Number 1: magnetic moment 0.02 Bohr magnetons per cell. Number 2: magnetic moment 0.00 Bohr magnetons per cell. Number 3: magnetic moment 0.00 Bohr magnetons per cell. Number 4: magnetic moment 0.00 Bohr magnetons per cell. Number 5: magnetic moment 0.00 Bohr magnetons per cell. Number 6: magnetic moment 0.00 Bohr magnetons per cell.